Entry 1:
First-principles (PBE) data for a geometry-optimized Ce2AlZn2Ni5 structure, as listed in Alexandria.

Cell: 9.942 9.942 3.128 Å, 90.00 90.00 90.00°
Space group P4/mbm (No. 127)
Asymmetric unit:
Ce1 0.174 0.326 0.000 [4 per cell]
Al1 0.000 0.000 0.000 [2 per cell]
Zn1 0.127 0.627 0.000 [4 per cell]
Ni1 0.000 0.500 0.500 [2 per cell]
Ni2 0.052 0.809 0.500 [8 per cell]

## Properties
DFT formation energy = -0.2400 eV per atom
total energy = -4.95 eV per atom


Entry 2:
First-principles (PBE) data for a geometry-optimized ReSiBr2 structure, as listed in Alexandria.

Cell: 6.044 9.193 3.311 Å, 90.00 121.29 90.00°
Space group C2/m (No. 12)
Asymmetric unit:
Re1 0.000 0.000 0.000 [2 per cell]
Si1 0.000 0.500 0.000 [2 per cell]
Br1 0.250 0.250 0.500 [4 per cell]

## Properties
energy above the most stable polymorph in this dataset = 1064 meV per atom
total energy = -4.10 eV per atom
energy relative to the elements, uncorrected = 1.20 eV/atom


Entry 3:
First-principles (PBE) data for a geometry-optimized LiLa2Sn3Pd4 structure, as listed in Alexandria.

Cell: 4.543 4.543 10.854 Å, 90.00 90.00 90.00°
Space group P-4m2 (No. 115)
Asymmetric unit:
Li1 0.000 0.000 0.000 [1 per cell]
La1 0.000 0.500 0.747 [2 per cell]
Sn1 0.000 0.500 0.369 [2 per cell]
Sn2 0.500 0.500 0.000 [1 per cell]
Pd1 0.000 0.000 0.500 [1 per cell]
Pd2 0.000 0.500 0.128 [2 per cell]
Pd3 0.500 0.500 0.500 [1 per cell]

## Properties
DFT formation energy = -0.7835 eV per atom
total energy = -5.24 eV per atom


Entry 4:
First-principles (PBE) data for a geometry-optimized LaNd2Ho4Tm structure, as listed in Alexandria.

Cell: 13.673 13.272 6.803 Å, 90.00 119.83 90.00°
Space group C2/c (No. 15)
Asymmetric unit:
La1 0.250 0.250 0.000 [4 per cell]
Nd1 0.000 0.000 0.000 [4 per cell]
Nd2 0.250 0.250 0.500 [4 per cell]
Ho1 0.000 0.256 0.001 [8 per cell]
Ho2 0.245 0.499 0.994 [8 per cell]
Tm1 0.000 0.500 0.000 [4 per cell]

## Properties
DFT formation energy = 0.4039 eV per atom
total energy = -4.25 eV per atom


Entry 5:
First-principles (PBE) data for a geometry-optimized Ho3Er2Al4 structure, as listed in Alexandria.

Cell: 5.0792 5.0792 9.6494 Å, 90.00 90.00 120.00°
Space group P-3m1 (No. 164)
Asymmetric unit:
Ho1 0.0000 0.0000 0.0000 [1 per cell]
Ho2 0.3333 0.6667 0.5809 [2 per cell]
Er1 0.3333 0.6667 0.2186 [2 per cell]
Al1 0.0000 0.0000 0.3504 [2 per cell]
Al2 0.3333 0.6667 0.9011 [2 per cell]

## Properties
DFT formation energy = -0.3429 eV per atom
total energy = -4.55 eV per atom


Entry 6:
First-principles (PBE) data for a geometry-optimized CaTlAu2 structure, as listed in Alexandria.

Cell: 4.143 4.781 9.317 Å, 90.00 90.00 90.00°
Space group Imm2 (No. 44)
Asymmetric unit:
Ca1 0.000 0.000 0.000 [2 per cell]
Tl1 0.000 0.500 0.768 [2 per cell]
Au1 0.000 0.000 0.511 [2 per cell]
Au2 0.000 0.500 0.238 [2 per cell]

## Properties
DFT formation energy = -0.4293 eV per atom
total energy = -3.16 eV per atom


Entry 7:
First-principles (PBE) data for a geometry-optimized NbAlAs structure, as listed in Alexandria.

Cell: 3.595 3.595 8.354 Å, 90.00 90.00 90.00°
Space group P4/nmm (No. 129, origin choice 2)
Asymmetric unit:
Nb1 0.250 0.250 0.106 [2 per cell]
Al1 0.250 0.750 0.500 [2 per cell]
As1 0.250 0.250 0.779 [2 per cell]

## Properties
DFT formation energy = -0.0966 eV per atom
total energy = -6.25 eV per atom


Entry 8:
First-principles (PBE) data for a geometry-optimized Ta2VMoH structure, as listed in Alexandria.

Cell: 4.487 4.487 3.421 Å, 90.00 90.00 90.00°
Space group P4/mmm (No. 123)
Asymmetric unit:
Ta1 0.000 0.500 0.000 [2 per cell]
V1 0.000 0.000 0.500 [1 per cell]
Mo1 0.500 0.500 0.500 [1 per cell]
H1 0.500 0.500 0.000 [1 per cell]

## Properties
energy above the most stable polymorph in this dataset = 115 meV per atom
total energy = -9.40 eV per atom


Entry 9:
First-principles (PBE) data for a geometry-optimized Zr2Mn2Hg structure, as listed in Alexandria.

Cell: 6.870 6.870 3.763 Å, 90.00 90.00 90.00°
Space group P4/mbm (No. 127)
Asymmetric unit:
Zr1 0.182 0.318 0.000 [4 per cell]
Mn1 0.106 0.606 0.500 [4 per cell]
Hg1 0.000 0.000 0.500 [2 per cell]

## Properties
energy above the most stable polymorph in this dataset = 0 meV per atom
DFT formation energy = -0.0150 eV per atom
total energy = -7.16 eV per atom


Entry 10:
First-principles (PBE) data for a geometry-optimized HoTlSnCl6 structure, as listed in Alexandria.

Cell: 7.2471 7.2471 6.8564 Å, 90.00 90.00 120.00°
Space group P312 (No. 149)
Asymmetric unit:
Ho1 0.0000 0.0000 0.0000 [1 per cell]
Tl1 0.3333 0.6667 0.5000 [1 per cell]
Sn1 0.6667 0.3333 0.0000 [1 per cell]
Cl1 0.3108 0.0230 0.2204 [6 per cell]

## Properties
total energy = -4.05 eV per atom
energy relative to the elements, uncorrected = -1.60 eV/atom


Entry 11:
First-principles (PBE) data for a geometry-optimized NbCo4 structure, as listed in Alexandria.

Cell: 8.085 8.085 4.532 Å, 90.00 90.00 90.00°
Space group P4/mbm (No. 127)
Asymmetric unit:
Nb1 0.124 0.376 0.000 [4 per cell]
Co1 0.000 0.000 0.222 [4 per cell]
Co2 0.106 0.205 0.500 [8 per cell]
Co3 0.106 0.606 0.500 [4 per cell]

## Properties
energy above the most stable polymorph in this dataset = 571 meV per atom
DFT formation energy = 0.6655 eV per atom
total energy = -7.03 eV per atom


Entry 12:
First-principles (PBE) data for a geometry-optimized LaCSe structure, as listed in Alexandria.

Cell: 16.622 4.494 4.043 Å, 90.00 98.59 90.00°
Space group C2/m (No. 12)
Asymmetric unit:
La1 0.134 0.000 0.176 [4 per cell]
C1 0.025 0.000 0.635 [4 per cell]
Se1 0.177 0.500 0.705 [4 per cell]

## Properties
energy above the most stable polymorph in this dataset = 0 meV per atom
total energy = -6.89 eV per atom
energy relative to the elements, uncorrected = -1.02 eV/atom


Entry 13:
First-principles (PBE) data for a geometry-optimized HRh2Au structure, as listed in Alexandria.

Cell: 6.060 6.060 5.598 Å, 90.00 90.00 90.00°
Space group I-42d (No. 122)
Asymmetric unit:
H1 0.000 0.000 0.000 [4 per cell]
Rh1 0.139 0.250 0.125 [8 per cell]
Au1 0.000 0.000 0.500 [4 per cell]

## Properties
energy above the most stable polymorph in this dataset = 154 meV per atom
total energy = -5.08 eV per atom


Entry 14:
First-principles (PBE) data for a geometry-optimized V2GaCoSn structure, as listed in Alexandria.

Cell: 5.039 5.039 4.605 Å, 90.00 90.00 90.00°
Space group P4/mmm (No. 123)
Asymmetric unit:
V1 0.000 0.500 0.000 [2 per cell]
Ga1 0.000 0.000 0.500 [1 per cell]
Co1 0.500 0.500 0.500 [1 per cell]
Sn1 0.500 0.500 0.000 [1 per cell]

## Properties
DFT formation energy = 1.4024 eV per atom
total energy = -5.07 eV per atom


Entry 15:
First-principles (PBE) data for a geometry-optimized CsTm4Te6 structure, as listed in Alexandria.

Cell: 4.418 14.608 23.311 Å, 90.00 90.00 90.00°
Space group Cmcm (No. 63)
Asymmetric unit:
Cs1 0.000 0.162 0.250 [4 per cell]
Tm1 0.000 0.094 0.629 [8 per cell]
Tm2 0.000 0.366 0.538 [8 per cell]
Te1 0.000 0.000 0.000 [4 per cell]
Te2 0.000 0.137 0.750 [4 per cell]
Te3 0.000 0.270 0.081 [8 per cell]
Te4 0.000 0.460 0.649 [8 per cell]

## Properties
total energy = -4.69 eV per atom
energy relative to the elements, uncorrected = -1.28 eV/atom


Entry 16:
First-principles (PBE) data for a geometry-optimized TlIrSe2 structure, as listed in Alexandria.

Cell: 3.048 4.111 7.321 Å, 90.00 90.00 90.00°
Space group Pmm2 (No. 25)
Asymmetric unit:
Tl1 0.000 0.000 0.000 [1 per cell]
Ir1 0.500 0.500 0.381 [1 per cell]
Se1 0.000 0.000 0.449 [1 per cell]
Se2 0.500 0.500 0.720 [1 per cell]

## Properties
energy above the most stable polymorph in this dataset = 567 meV per atom
total energy = -4.29 eV per atom
energy relative to the elements, uncorrected = 0.26 eV/atom


Entry 17:
First-principles (PBE) data for a geometry-optimized CuW2Br structure, as listed in Alexandria.

Cell: 6.243 6.243 6.243 Å, 90.00 90.00 90.00°
Space group Fm-3m (No. 225)
Asymmetric unit:
Cu1 0.000 0.000 0.000 [4 per cell]
W1 0.250 0.250 0.250 [8 per cell]
Br1 0.000 0.000 0.500 [4 per cell]

## Properties
energy above the most stable polymorph in this dataset = 660 meV per atom
total energy = -6.73 eV per atom
energy relative to the elements, uncorrected = 1.19 eV/atom


Entry 18:
First-principles (PBE) data for a geometry-optimized Mg2HgBi2 structure, as listed in Alexandria.

Cell: 9.060 9.060 3.434 Å, 90.00 90.00 90.00°
Space group P4/mbm (No. 127)
Asymmetric unit:
Mg1 0.139 0.361 0.000 [4 per cell]
Hg1 0.000 0.000 0.500 [2 per cell]
Bi1 0.158 0.658 0.500 [4 per cell]

## Properties
energy above the most stable polymorph in this dataset = 20 meV per atom
DFT formation energy = -0.0490 eV per atom
total energy = -2.30 eV per atom


Entry 19:
First-principles (PBE) data for a geometry-optimized NaPb2F structure, as listed in Alexandria.

Cell: 5.476 5.476 16.898 Å, 90.00 90.00 90.00°
Space group I-42d (No. 122)
Asymmetric unit:
Na1 0.000 0.000 0.000 [4 per cell]
Pb1 0.129 0.250 0.625 [8 per cell]
F1 0.000 0.000 0.500 [4 per cell]

## Properties
energy above the most stable polymorph in this dataset = 0 meV per atom
total energy = -3.24 eV per atom
energy relative to the elements, uncorrected = -0.59 eV/atom


Entry 20:
First-principles (PBE) data for a geometry-optimized Y8HoSc2 structure, as listed in Alexandria.

Cell: 17.306 6.700 6.358 Å, 90.00 110.52 90.00°
Space group C2/m (No. 12)
Asymmetric unit:
Y1 0.068 0.000 0.242 [4 per cell]
Y2 0.102 0.258 0.704 [8 per cell]
Y3 0.210 0.500 0.320 [4 per cell]
Ho1 0.000 0.500 0.000 [2 per cell]
Sc1 0.225 0.000 0.109 [4 per cell]

## Properties
energy above the most stable polymorph in this dataset = 16 meV per atom
DFT formation energy = 0.1918 eV per atom
total energy = -6.08 eV per atom


Entry 21:
First-principles (PBE) data for a geometry-optimized Sr2TlTe2O6 structure, as listed in Alexandria.

Cell: 6.144 6.264 7.334 Å, 68.75 76.47 74.11°
Space group P-1 (No. 2)
Asymmetric unit:
Sr1 0.187 0.196 0.004 [2 per cell]
Tl1 0.500 0.000 0.500 [1 per cell]
Te1 0.211 0.618 0.329 [2 per cell]
O1 0.039 0.113 0.736 [2 per cell]
O2 0.167 0.508 0.133 [2 per cell]
O3 0.432 0.810 0.195 [2 per cell]

## Properties
total energy = -5.46 eV per atom
energy relative to the elements, uncorrected = -1.66 eV/atom


Entry 22:
First-principles (PBE) data for a geometry-optimized Tm2NbHg structure, as listed in Alexandria.

Cell: 3.354 3.354 8.475 Å, 90.00 90.00 90.00°
Space group P4/mmm (No. 123)
Asymmetric unit:
Tm1 0.000 0.000 0.245 [2 per cell]
Nb1 0.500 0.500 0.000 [1 per cell]
Hg1 0.500 0.500 0.500 [1 per cell]

## Properties
energy above the most stable polymorph in this dataset = 0 meV per atom
DFT formation energy = -0.0800 eV per atom
total energy = -4.91 eV per atom


Entry 23:
First-principles (PBE) data for a geometry-optimized TmH6Ru2 structure, as listed in Alexandria.

Cell: 5.729 6.035 4.938 Å, 90.00 113.30 90.00°
Space group C2/m (No. 12)
Asymmetric unit:
Tm1 0.000 0.000 0.000 [2 per cell]
H1 0.084 0.500 0.704 [4 per cell]
H2 0.179 0.304 0.272 [8 per cell]
Ru1 0.000 0.251 0.500 [4 per cell]

## Properties
energy above the most stable polymorph in this dataset = 0 meV per atom
total energy = -4.95 eV per atom